Below is a relaxed Ho2MgS4 crystal, with properties calculated at the PBEsol level.

Unit cell a=7.0331 b=7.0331 c=7.0331 alpha=110.49 beta=110.49 gamma=107.45
Closest atoms and distances in Å follow each position.
Positions (direct):
Ho1 0.0040 0.6250 0.8790  6 S 2.67-2.90
Ho2 0.3750 0.2540 0.3790  6 S 2.67-2.90
Ho3 0.7460 0.1250 0.1210  6 S 2.67-2.90
Ho4 0.8750 0.9960 0.6210  6 S 2.67-2.90
Mg1 0.2500 0.7500 0.5000  4 S 2.59
Mg2 0.5000 0.5000 0.0000  4 S 2.59
S1 0.1222 0.3823 0.1215  1 Mg 2.59, 2 Ho 2.67-2.72
S2 0.1323 0.3722 0.6215  1 Mg 2.59, 2 Ho 2.67-2.72
S3 0.2608 0.0006 0.8785  1 Mg 2.59, 2 Ho 2.67-2.72
S4 0.4892 0.8677 0.2398  1 Mg 2.59, 2 Ho 2.67-2.72
S5 0.6177 0.7392 0.7398  1 Mg 2.59, 2 Ho 2.67-2.72
S6 0.6278 0.2494 0.7602  1 Mg 2.59, 2 Ho 2.67-2.72
S7 0.7506 0.5108 0.3785  1 Mg 2.59, 2 Ho 2.67-2.72
S8 0.9994 0.8778 0.2602  1 Mg 2.59, 2 Ho 2.67-2.72

Calculated values
- uncorrected formation energy (eV per atom) = -1.89
- uncorrected energy (eV per atom) = -6.053
- DOS(E_F) (states/eV/f.u.) = 0.0
- V (Å³/cell) = 267.6